The following is a GGA-PBE calculation of Ba2WAu after structural relaxation, from Alexandria.

Geometry as POSCAR:
```
Ba2WAu
1.0
-2.893 1.268 1.958
1.374 -1.595 3.062
4.889 8.061 2.006
Au Ba W
1 2 1
direct
0.500 0.500 0.673 Au
0.000 0.000 0.913 Ba
0.500 0.500 0.328 Ba
0.000 0.000 0.586 W
```

Computed properties:
ρ: 8.18 g/cm³
polymorph energy (0 for the lowest one): 4.49 kcal/mol of atoms
energy of formation: 0.635 eV per atom